#P
Below is a geometry-optimized U2PaSi structure, with properties calculated at the GGA-PBE level.

The structure belongs to space group P4/mmm (No. 123); the cell edges are 4.253, 4.253 and 4.445 Å and the angles 90.00°, 90.00° and 90.00°. The inequivalent atoms are U at (0.000, 0.500, 0.000), Pa at (0.000, 0.000, 0.500) and Si at (0.500, 0.500, 0.500).

#Q
Below is a geometry-optimized U2PaSi structure, with properties calculated at the GGA-PBE level.

The structure belongs to space group Fm-3m (No. 225); the cell edges are 6.810, 6.810 and 6.810 Å and the angles 90.00°, 90.00° and 90.00°. The inequivalent atoms are U at (0.250, 0.250, 0.250), Pa at (0.000, 0.000, 0.000) and Si at (0.000, 0.000, 0.500).

Quick one: least stable of them? #Q